1.
Here is a geometry-optimized RbTl2BiPt structure from the Alexandria database. Energies are from GGA-PBE.

Properties
volume: 172 Å³/f.u.
ρ: 8.66 g cm⁻³
E_form: -0.25 eV per formula unit

a = 5.4137 Å, b = 5.4137 Å, c = 5.8752 Å
α = 90.00°, β = 90.00°, γ = 90.00°
Closest atoms and distances in Å follow each position.
Atoms (fractional coordinates):
1 Rb 0.0000 0.0000 0.0000  4 Bi 3.83, 8 Tl 3.99
2 Tl 0.0000 0.5000 0.5000  2 Pt 2.71
3 Tl 0.5000 0.0000 0.5000  2 Pt 2.71
4 Bi 0.5000 0.5000 0.0000  2 Pt 2.94
5 Pt 0.5000 0.5000 0.5000  4 Tl 2.71, 2 Bi 2.94



2.
Here is a geometry-optimized Rb2YBiPt structure from the Alexandria database. Energies are from GGA-PBE.

Properties
volume: 255 Å³/f.u.
ρ: 4.33 g cm⁻³
E_form: 2.51 eV per formula unit

a = 7.1533 Å, b = 7.1533 Å, c = 4.9791 Å
α = 90.00°, β = 90.00°, γ = 90.00°
Closest atoms and distances in Å follow each position.
Atoms (fractional coordinates):
1 Rb 0.0000 0.5000 0.0000  2 Y 3.58
2 Rb 0.5000 0.0000 0.0000  2 Y 3.58
3 Y 0.0000 0.0000 0.0000  2 Pt 2.49
4 Bi 0.5000 0.5000 0.5000  8 Rb 4.36
5 Pt 0.0000 0.0000 0.5000  2 Y 2.49



3.
Here is a geometry-optimized RbZn2BiPt structure from the Alexandria database. Energies are from GGA-PBE.

Properties
volume: 141 Å³/f.u.
ρ: 7.33 g cm⁻³
E_form: -0.58 eV per formula unit

a = 5.0473 Å, b = 5.0473 Å, c = 5.5193 Å
α = 90.00°, β = 90.00°, γ = 90.00°
Closest atoms and distances in Å follow each position.
Atoms (fractional coordinates):
1 Rb 0.0000 0.0000 0.0000  4 Bi 3.57, 8 Zn 3.74
2 Zn 0.0000 0.5000 0.5000  2 Pt 2.52
3 Zn 0.5000 0.0000 0.5000  2 Pt 2.52
4 Bi 0.5000 0.5000 0.0000  2 Pt 2.76
5 Pt 0.5000 0.5000 0.5000  4 Zn 2.52, 2 Bi 2.76



4.
Here is a geometry-optimized Re3BiPt structure from the Alexandria database. Energies are from GGA-PBE.

Properties
volume: 117 Å³/f.u.
ρ: 13.68 g cm⁻³
E_form: 16.78 eV per formula unit

a = 4.8891 Å, b = 4.8891 Å, c = 4.8891 Å
α = 90.00°, β = 90.00°, γ = 90.00°
Closest atoms and distances in Å follow each position.
Atoms (fractional coordinates):
1 Re 0.0000 0.0000 0.5000  2 Bi 2.44
2 Re 0.0000 0.5000 0.0000  2 Bi 2.44
3 Re 0.5000 0.0000 0.0000  2 Bi 2.44
4 Bi 0.0000 0.0000 0.0000  6 Re 2.44
5 Pt 0.5000 0.5000 0.5000  12 Re 3.46



5.
Here is a geometry-optimized Re2BiPt structure from the Alexandria database. Energies are from GGA-PBE.

Properties
volume: 104 Å³/f.u.
ρ: 12.39 g cm⁻³
E_form: 6.11 eV per formula unit

a = 5.9906 Å, b = 5.9906 Å, c = 11.5975 Å
α = 90.00°, β = 90.00°, γ = 90.00°
Closest atoms and distances in Å follow each position.
Atoms (fractional coordinates):
1 Re 0.2056 0.2500 0.1250  2 Pt 2.42
2 Re 0.2500 0.7056 0.3750  2 Pt 2.42
3 Re 0.2500 0.7944 0.8750  2 Pt 2.42
4 Re 0.2944 0.2500 0.6250  2 Pt 2.42
5 Re 0.7056 0.7500 0.6250  2 Pt 2.42
6 Re 0.7500 0.2056 0.8750  2 Pt 2.42
7 Re 0.7500 0.2944 0.3750  2 Pt 2.42
8 Re 0.7944 0.7500 0.1250  2 Pt 2.42
9 Bi 0.0000 0.0000 0.5000  4 Re 2.73
10 Bi 0.0000 0.5000 0.7500  4 Re 2.73
11 Bi 0.5000 0.0000 0.2500  4 Re 2.73
12 Bi 0.5000 0.5000 0.0000  4 Re 2.73
13 Pt 0.0000 0.0000 0.0000  4 Re 2.42
14 Pt 0.0000 0.5000 0.2500  4 Re 2.42
15 Pt 0.5000 0.0000 0.7500  4 Re 2.42
16 Pt 0.5000 0.5000 0.5000  4 Re 2.42



6.
Here is a geometry-optimized ReBiPt3 structure from the Alexandria database. Energies are from GGA-PBE.

Properties
volume: 115 Å³/f.u.
ρ: 14.11 g cm⁻³
E above lowest polymorph: 0.0 kJ per mole of atoms
E_form: 4.43 eV per formula unit

a = 4.8682 Å, b = 4.8682 Å, c = 4.8682 Å
α = 90.00°, β = 90.00°, γ = 90.00°
Closest atoms and distances in Å follow each position.
Atoms (fractional coordinates):
1 Re 0.0000 0.0000 0.0000  6 Pt 2.43
2 Bi 0.5000 0.5000 0.5000  12 Pt 3.44
3 Pt 0.0000 0.0000 0.5000  2 Re 2.43
4 Pt 0.0000 0.5000 0.0000  2 Re 2.43
5 Pt 0.5000 0.0000 0.0000  2 Re 2.43



7.
Here is a geometry-optimized ReBi3Pt structure from the Alexandria database. Energies are from GGA-PBE.

Properties
volume: 145 Å³/f.u.
ρ: 11.56 g cm⁻³
E above lowest polymorph: 0.0 kJ per mole of atoms
E_form: 4.89 eV per formula unit

a = 5.2522 Å, b = 5.2522 Å, c = 5.2522 Å
α = 90.00°, β = 90.00°, γ = 90.00°
Closest atoms and distances in Å follow each position.
Atoms (fractional coordinates):
1 Re 0.0000 0.0000 0.0000  6 Bi 2.63
2 Bi 0.0000 0.0000 0.5000  2 Re 2.63
3 Bi 0.0000 0.5000 0.0000  2 Re 2.63
4 Bi 0.5000 0.0000 0.0000  2 Re 2.63
5 Pt 0.5000 0.5000 0.5000  12 Bi 3.71



8.
Here is a geometry-optimized ReBiPtSe2 structure from the Alexandria database. Energies are from GGA-PBE.

Properties
volume: 153 Å³/f.u.
ρ: 8.12 g cm⁻³
uncorrected formation energy: 1.7552 eV/atom

a = 5.4933 Å, b = 5.4933 Å, c = 5.0710 Å
α = 90.00°, β = 90.00°, γ = 90.00°
Closest atoms and distances in Å follow each position.
Atoms (fractional coordinates):
1 Re 0.0000 0.0000 0.0000  8 Se 3.74, 4 Pt 3.88
2 Bi 0.5000 0.5000 0.5000  2 Pt 2.54, 4 Se 2.75
3 Pt 0.5000 0.5000 0.0000  2 Bi 2.54
4 Se 0.0000 0.5000 0.5000  2 Bi 2.75
5 Se 0.5000 0.0000 0.5000  2 Bi 2.75



Number 1: M_tot 0.00 μB per atom. Number 2: M_tot 0.00 μB per atom. Number 3: M_tot 0.00 μB per atom. Number 4: M_tot 0.00 μB per atom. Number 5: M_tot 0.00 μB per atom. Number 6: M_tot 0.00 μB per atom. Number 7: M_tot 0.00 μB per atom. Number 8: M_tot 0.91 μB per atom.